(1)
VASP calculation (GGA-PBE) on a relaxed structure of LiAg7Hg4.

The formation energy comes out at 0.0872 eV/atom.

The structure belongs to space group C2/m (No. 12); the cell edges are 10.614, 5.059 and 10.662 Å and the angles 90.00°, 119.39° and 90.00°. The inequivalent atoms are Li at (0.000, 0.000, 0.000), Ag at (0.000, 0.500, 0.000), Ag at (0.117, 0.000, 0.467), Ag at (0.162, 0.500, 0.620), Ag at (0.216, 0.500, 0.920), Hg at (0.082, 0.500, 0.305) and Hg at (0.178, 0.000, 0.776).

***

(2)
VASP calculation (GGA-PBE) on a relaxed structure of LiAg2Hg6.

The formation energy comes out at 0.0076 eV/atom.

The structure belongs to space group C2/m (No. 12); the cell edges are 14.912, 6.634 and 4.756 Å and the angles 90.00°, 106.64° and 90.00°. The inequivalent atoms are Li at (0.000, 0.000, 0.000), Ag at (0.165, 0.500, 0.656), Hg at (0.000, 0.236, 0.500) and Hg at (0.162, 0.243, 0.154).

***

(3)
VASP calculation (GGA-PBE) on a relaxed structure of LiAgHg4.

The formation energy comes out at -0.0359 eV/atom. As for the relative energy among the computed polymorphs: 0.052 eV/atom.

The structure belongs to space group P4/mmm (No. 123); the cell edges are 4.573, 4.573 and 7.092 Å and the angles 90.00°, 90.00° and 90.00°. The inequivalent atoms are Li at (0.000, 0.000, 0.000), Ag at (0.500, 0.500, 0.500) and Hg at (0.000, 0.500, 0.236).

***

(4)
VASP calculation (GGA-PBE) on a relaxed structure of Li4Ag3Hg4.

The formation energy comes out at -0.1497 eV/atom. As for the relative energy among the computed polymorphs: 0.021 eV/atom.

The structure belongs to space group Immm (No. 71); the cell edges are 3.006, 4.734 and 29.091 Å and the angles 90.00°, 90.00° and 90.00°. The inequivalent atoms are Li at (0.000, 0.000, 0.046), Li at (0.000, 0.500, 0.181), Ag at (0.000, 0.000, 0.500), Ag at (0.000, 0.500, 0.365), Hg at (0.000, 0.000, 0.226) and Hg at (0.000, 0.500, 0.090).

***

(5)
VASP calculation (GGA-PBE) on a relaxed structure of LiAg2Hg.

The formation energy comes out at -0.0473 eV/atom.

The structure belongs to space group R-3m (No. 166, hexagonal axes); the cell edges are 2.9973, 2.9973 and 28.8049 Å and the angles 90.00°, 90.00° and 120.00°. The inequivalent atoms are Li at (0.0000, 0.0000, 0.0000), Ag at (0.0000, 0.0000, 0.2579) and Hg at (0.0000, 0.0000, 0.5000).

***

(6)
VASP calculation (GGA-PBE) on a relaxed structure of Li8AgHg2.

The formation energy comes out at -0.2156 eV/atom. As for the relative energy among the computed polymorphs: 0.000 eV/atom.

The structure belongs to space group Immm (No. 71); the cell edges are 4.586, 6.897 and 12.580 Å and the angles 90.00°, 90.00° and 90.00°. The inequivalent atoms are Li at (0.000, 0.000, 0.152), Li at (0.000, 0.214, 0.353), Li at (0.000, 0.297, 0.000), Ag at (0.000, 0.500, 0.500) and Hg at (0.000, 0.500, 0.198).

***

(7)
VASP calculation (GGA-PBE) on a relaxed structure of LiAg6Hg.

The formation energy comes out at -0.0341 eV/atom. As for the relative energy among the computed polymorphs: 0.016 eV/atom.

The structure belongs to space group P-6m2 (No. 187); the cell edges are 5.9203, 5.9203 and 4.7749 Å and the angles 90.00°, 90.00° and 120.00°. The inequivalent atoms are Li at (0.0000, 0.0000, 0.0000), Ag at (0.3291, 0.1645, 0.5000), Ag at (0.5026, 0.0052, 0.0000) and Hg at (0.3333, 0.6667, 0.5000).

***

(8)
VASP calculation (GGA-PBE) on a relaxed structure of LiAg3Hg.

The formation energy comes out at 0.1436 eV/atom. As for the relative energy among the computed polymorphs: 0.219 eV/atom.

The structure belongs to space group C2/m (No. 12); the cell edges are 9.764, 5.592 and 5.636 Å and the angles 90.00°, 125.14° and 90.00°. The inequivalent atoms are Li at (0.000, 0.000, 0.000), Ag at (0.000, 0.500, 0.000), Ag at (0.250, 0.250, 0.000) and Hg at (0.000, 0.000, 0.500).

***

(9)
VASP calculation (GGA-PBE) on a relaxed structure of Li12Ag2Hg5.

The formation energy comes out at -0.2294 eV/atom.

The structure belongs to space group C2/m (No. 12); the cell edges are 13.270, 7.459 and 6.913 Å and the angles 90.00°, 90.54° and 90.00°. The inequivalent atoms are Li at (0.047, 0.000, 0.239), Li at (0.108, 0.224, 0.872), Li at (0.159, 0.500, 0.621), Li at (0.179, 0.294, 0.278), Ag at (0.000, 0.295, 0.500), Hg at (0.000, 0.500, 0.000), Hg at (0.157, 0.000, 0.569) and Hg at (0.245, 0.000, 0.037).

***

(10)
VASP calculation (GGA-PBE) on a relaxed structure of LiAg6Hg2.

The formation energy comes out at 0.0385 eV/atom. As for the relative energy among the computed polymorphs: 0.055 eV/atom.

The structure belongs to space group C2/m (No. 12); the cell edges are 9.444, 5.753 and 6.972 Å and the angles 90.00°, 107.63° and 90.00°. The inequivalent atoms are Li at (0.000, 0.000, 0.000), Ag at (0.098, 0.248, 0.373), Ag at (0.187, 0.000, 0.762) and Hg at (0.180, 0.500, 0.809).

***

(11)
VASP calculation (GGA-PBE) on a relaxed structure of LiAg2Hg.

The formation energy comes out at -0.1050 eV/atom.

The structure belongs to space group Cm (No. 8); the cell edges are 9.650, 3.000 and 5.161 Å and the angles 90.00°, 100.23° and 90.00°. The inequivalent atoms are Li at (0.000, 0.000, 0.000), Ag at (0.002, 0.500, 0.512), Ag at (0.252, 0.000, 0.754) and Hg at (0.247, 0.500, 0.244).

***

(12)
VASP calculation (GGA-PBE) on a relaxed structure of Li2Ag4Hg.

The formation energy comes out at -0.0518 eV/atom. As for the relative energy among the computed polymorphs: 0.000 eV/atom.

The structure belongs to space group Cmce (No. 64); the cell edges are 9.896, 5.586 and 9.864 Å and the angles 90.00°, 90.00° and 90.00°. The inequivalent atoms are Li at (0.156, 0.000, 0.000), Ag at (0.000, 0.160, 0.224), Ag at (0.250, 0.106, 0.750) and Hg at (0.000, 0.000, 0.500).